Entry 1:
5
Lattice="5.150 0.000 0.000 0.000 5.126 0.000 0.000 0.000 5.150" Properties=species:S:1:pos:R:3 comment="Na2ZrSiN, optimized geometry, DFT PBE-GGA" sg="P4/mmm (123)" magnetic_moment_mub_per_cell=0.86 e_tot_ev_per_atom=-3.70 pbc="T T T"
Na 0.000 0.000 2.575
Na 2.575 0.000 0.000
Si 0.000 0.000 0.000
Zr 0.000 2.563 0.000
N 2.575 2.563 2.575

Entry 2:
6
Lattice="3.798 0.000 0.000 0.000 4.897 0.000 0.000 0.000 7.572" Properties=species:S:1:pos:R:3 comment="NaSmN, optimized geometry, DFT PBE-GGA" sg="Pmmn (59)" magnetic_moment_mub_per_cell=0.00 e_tot_ev_per_atom=-5.52 pbc="T T T"
N 1.899 0.000 4.304
N 0.000 2.449 3.268
Sm 0.000 0.000 2.982
Sm 1.899 2.449 4.590
Na 1.899 2.449 1.079
Na 0.000 0.000 6.493

Entry 3:
16
Lattice="-5.901 3.363 1.856 -2.446 -0.704 -6.504 2.121 -5.651 3.626" Properties=species:S:1:pos:R:3 comment="Na4SmU3N8, optimized geometry, DFT PBE-GGA" sg="R-3m (166)" magnetic_moment_mub_per_cell=1.08 e_tot_ev_per_atom=-7.95 pbc="T T T"
Na -2.951 1.681 0.928
Na -1.890 -1.144 2.741
Na 0.000 0.000 0.000
Na 1.060 -2.826 1.813
Sm -1.223 -0.352 -3.252
U -4.174 1.329 -2.324
U -3.114 -1.496 -0.511
U -0.163 -3.178 -1.439
N -1.102 -4.979 -0.577
N -2.069 -2.400 -2.232
N -1.216 -2.372 0.432
N -3.794 -3.444 0.270
N -2.433 0.452 -1.292
N -5.011 -0.621 -1.453
N -4.158 -0.593 1.210
N -5.126 1.986 -0.445

- Which formula does entry 3 have?
  Na4SmU3N8

- What is the formula in the third record?
  Na4SmU3N8